The following is a PBE calculation of TmSi2Ru after structural relaxation, from the Alexandria database.

Summary:
The value obtained for the raw formation energy is -0.7264 eV/atom.

abc: 5.3621 5.3621 5.3621
angles: 44.39 44.39 44.39
Closest atoms and distances in Å follow each position.
Element x y z (fractional)
Tm 0.0000 0.0000 0.0000  8 Si 2.90-3.11
Si 0.2147 0.2147 0.2147  3 Ru 2.44, 3 Si 2.72
Si 0.7853 0.7853 0.7853  3 Ru 2.44, 3 Si 2.72
Ru 0.5000 0.5000 0.5000  6 Si 2.44